Crystalline PrSnGe2 at its relaxed geometry. Source: the Alexandria database, functional PBE.

Properties
E_form: -0.4271 eV/atom
raw total energy: -19.73 eV/cell
density: 7.130 g cm⁻³
magnetic moment: 0.0 μB/f.u.

Cell lengths 4.696, 4.696, 4.276 Å; angles 90.00, 90.00, 90.00 degrees
Space group P4/mmm (No. 123)
One atom of each set of equivalent atoms:
Pr: 0.000 0.000 0.000
Sn: 0.500 0.500 0.000
Ge: 0.000 0.500 0.500